# 1
This record from Alexandria via LeMat-Bulk describes crystalline LaHoRh4 at its relaxed geometry. The functional is PBE.

Unit cell a=5.3919 b=5.3919 c=5.3919 alpha=60.00 beta=60.00 gamma=60.00
With the nearest neighbours (Å) after each atom.
Atoms (fractional coordinates):
1 La 0.0000 0.0000 0.0000  12 Rh 3.16, 4 Ho 3.30
2 Ho 0.7500 0.7500 0.7500  12 Rh 3.16, 4 La 3.30
3 Rh 0.3754 0.3754 0.3754  6 Rh 2.69-2.70
4 Rh 0.3754 0.3754 0.8740  6 Rh 2.69-2.70
5 Rh 0.3754 0.8740 0.3754  6 Rh 2.69-2.70
6 Rh 0.8740 0.3754 0.3754  6 Rh 2.69-2.70

Summary:
**Formation energy from the elements**: -0.699 eV per atom


# 2
This record from Alexandria via LeMat-Bulk describes crystalline TiFe2Pt9 at its relaxed geometry. The functional is PBE.

Unit cell a=3.9301 b=3.9301 c=11.7727 alpha=90.00 beta=90.00 gamma=90.00
With the nearest neighbours (Å) after each atom.
Atoms (fractional coordinates):
1 Ti 0.0000 0.0000 0.0000  12 Pt 2.78
2 Fe 0.0000 0.0000 0.3361  12 Pt 2.75-2.80
3 Fe 0.0000 0.0000 0.6639  12 Pt 2.75-2.80
4 Pt 0.0000 0.5000 0.1667  8 Pt 2.78, 2 Ti 2.78, 2 Fe 2.80
5 Pt 0.0000 0.5000 0.5000  4 Fe 2.75, 8 Pt 2.78
6 Pt 0.0000 0.5000 0.8333  8 Pt 2.78, 2 Ti 2.78, 2 Fe 2.80
7 Pt 0.5000 0.0000 0.1667  8 Pt 2.78, 2 Ti 2.78, 2 Fe 2.80
8 Pt 0.5000 0.0000 0.5000  4 Fe 2.75, 8 Pt 2.78
9 Pt 0.5000 0.0000 0.8333  8 Pt 2.78, 2 Ti 2.78, 2 Fe 2.80
10 Pt 0.5000 0.5000 0.0000  8 Pt 2.78, 4 Ti 2.78
11 Pt 0.5000 0.5000 0.3334  8 Pt 2.78, 4 Fe 2.78
12 Pt 0.5000 0.5000 0.6666  8 Pt 2.78, 4 Fe 2.78

Summary:
**Formation energy from the elements**: -0.437 eV per atom


# 3
This record from Alexandria via LeMat-Bulk describes crystalline PrDy2Zn at its relaxed geometry. The functional is PBE.

Unit cell a=3.6311 b=3.6311 c=31.0804 alpha=90.00 beta=90.00 gamma=120.00
With the nearest neighbours (Å) after each atom.
Atoms (fractional coordinates):
1 Pr 0.0000 0.0000 0.0000  6 Pr 3.63, 6 Dy 3.66-3.69
2 Pr 0.3333 0.6667 0.6667  6 Pr 3.63, 6 Dy 3.66-3.69
3 Pr 0.6667 0.3333 0.3333  6 Pr 3.63, 6 Dy 3.66-3.69
4 Dy 0.0000 0.0000 0.2369  3 Zn 3.01
5 Dy 0.0000 0.0000 0.4308  3 Zn 3.02
6 Dy 0.3333 0.6667 0.0975  3 Zn 3.02
7 Dy 0.3333 0.6667 0.9036  3 Zn 3.01
8 Dy 0.6667 0.3333 0.5703  3 Zn 3.01
9 Dy 0.6667 0.3333 0.7642  3 Zn 3.02
10 Zn 0.0000 0.0000 0.8342  6 Dy 3.01-3.02
11 Zn 0.3333 0.6667 0.5009  6 Dy 3.01-3.02
12 Zn 0.6667 0.3333 0.1675  6 Dy 3.01-3.02

Summary:
**Formation energy from the elements**: -0.052 eV per atom


# 4
This record from Alexandria via LeMat-Bulk describes crystalline ReW at its relaxed geometry. The functional is PBE.

Unit cell a=5.2112 b=5.2112 c=5.2112 alpha=90.00 beta=90.00 gamma=90.00
With the nearest neighbours (Å) after each atom.
Atoms (fractional coordinates):
1 Re 0.0000 0.0000 0.0000  6 W 2.61
2 Re 0.0000 0.5000 0.5000  6 W 2.61
3 Re 0.5000 0.0000 0.5000  6 W 2.61
4 Re 0.5000 0.5000 0.0000  6 W 2.61
5 W 0.0000 0.0000 0.5000  6 Re 2.61
6 W 0.0000 0.5000 0.0000  6 Re 2.61
7 W 0.5000 0.0000 0.0000  6 Re 2.61
8 W 0.5000 0.5000 0.5000  6 Re 2.61

Summary:
**Formation energy from the elements**: 1.322 eV per atom


Which E_tot belongs to each record? In order, -43.1 -84.4 -46.4 -91.0 eV for the cell shown.